This record from Alexandria describes an optimized crystal structure of ScTl3Os. The functional is GGA-PBE.

Geometry as CIF:
```
data_ScTl3Os
_cell_length_a 5.5072
_cell_length_b 5.5072
_cell_length_c 5.5072
_cell_angle_alpha 90.00
_cell_angle_beta 90.00
_cell_angle_gamma 90.00
_space_group_name_H-M_alt 'P 1'
_space_group_IT_number 1
loop_
_space_group_symop_operation_xyz
'x,y,z'
loop_
_atom_site_label
_atom_site_type_symbol
_atom_site_fract_x
_atom_site_fract_y
_atom_site_fract_z
Tl1 Tl 0.0000 0.0000 0.5000
Tl2 Tl 0.0000 0.5000 0.0000
Tl3 Tl 0.5000 0.0000 0.0000
Os1 Os 0.5000 0.5000 0.5000
Sc1 Sc 0.0000 0.0000 0.0000
```

Values from the calculation:
For the formation energy, the calculation gives 1.626 eV per atom. As for the space group: No. 221. For the total magnetization, the calculation gives 2.366 Bohr magnetons per cell. Its theoretical density is 8.43 g/cm³.